Entry 1:
Entry from Alexandria via LeMat-Bulk: crystalline CsHfCoS3 at its relaxed geometry (PBE).

Properties
ΔE_f (raw) in eV/atom: -1.23
Total energy in eV/atom: -6.280

```
data_CsHfCoS3
_chemical_formula_sum 'Cs2 Hf2 Co2 S6'
_space_group_name_H-M_alt 'P 1 21/m 1'
_space_group_IT_number 11
_space_group_name_Hall '-P 2yb'
_cell_length_a 9.186
_cell_length_b 3.695
_cell_length_c 9.656
_cell_angle_alpha 90.00
_cell_angle_beta 116.88
_cell_angle_gamma 90.00
loop_
_atom_site_label
_atom_site_type_symbol
_atom_site_fract_x
_atom_site_fract_y
_atom_site_fract_z
Cs1 Cs 0.226 0.250 0.252
Hf1 Hf 0.314 0.750 0.838
Co1 Co 0.084 0.250 0.598
S1 S 0.132 0.250 0.854
S2 S 0.192 0.750 0.544
S3 S 0.478 0.750 0.143
```

***

Entry 2:
Entry from Alexandria via LeMat-Bulk: crystalline Cs2HfCoS4 at its relaxed geometry (PBE).

Properties
ΔE_f (raw) in eV/atom: -1.16
Total energy in eV/atom: -5.566

```
data_Cs2HfCoS4
_chemical_formula_sum 'Cs16 Hf8 Co8 S32'
_space_group_name_H-M_alt 'F d d d'
_space_group_IT_number 70
_cell_length_a 5.834
_cell_length_b 14.347
_cell_length_c 25.809
_cell_angle_alpha 90.00
_cell_angle_beta 90.00
_cell_angle_gamma 90.00
loop_
_space_group_symop_operation_xyz
'x,y,z'
'-x,-y,-z'
'-x+1/4,-y+1/4,z'
'x+1/4,y+1/4,-z'
'x,-y+1/4,-z+1/4'
'-x,y+1/4,z+1/4'
'-x+1/4,y,-z+1/4'
'x+1/4,-y,z+1/4'
'x,y+1/2,z+1/2'
'-x,-y+1/2,-z+1/2'
'-x+1/4,-y+3/4,z+1/2'
'x+1/4,y+3/4,-z+1/2'
'x,-y+3/4,-z+3/4'
'-x,y+3/4,z+3/4'
'-x+1/4,y+1/2,-z+3/4'
'x+1/4,-y+1/2,z+3/4'
'x+1/2,y,z+1/2'
'-x+1/2,-y,-z+1/2'
'-x+3/4,-y+1/4,z+1/2'
'x+3/4,y+1/4,-z+1/2'
'x+1/2,-y+1/4,-z+3/4'
'-x+1/2,y+1/4,z+3/4'
'-x+3/4,y,-z+3/4'
'x+3/4,-y,z+3/4'
'x+1/2,y+1/2,z'
'-x+1/2,-y+1/2,-z'
'-x+3/4,-y+3/4,z'
'x+3/4,y+3/4,-z'
'x+1/2,-y+3/4,-z+1/4'
'-x+1/2,y+3/4,z+1/4'
'-x+3/4,y+1/2,-z+1/4'
'x+3/4,-y+1/2,z+1/4'
loop_
_atom_site_label
_atom_site_type_symbol
_atom_site_fract_x
_atom_site_fract_y
_atom_site_fract_z
Cs1 Cs 0.125 0.125 0.301
Hf1 Hf 0.125 0.125 0.125
Co1 Co 0.125 0.125 0.625
S1 S 0.114 0.283 0.825
```

***

Entry 3:
Entry from Alexandria via LeMat-Bulk: crystalline CsHf2CoSb at its relaxed geometry (PBE).

Properties
ΔE_f (raw) in eV/atom: 2.74
Total energy in eV/atom: -3.657

```
data_CsHf2CoSb
_chemical_formula_sum 'Cs1 Hf2 Co1 Sb1'
_space_group_name_H-M_alt 'P 4/m m m'
_space_group_IT_number 123
_space_group_name_Hall '-P 4 2'
_cell_length_a 5.297
_cell_length_b 5.297
_cell_length_c 5.781
_cell_angle_alpha 90.00
_cell_angle_beta 90.00
_cell_angle_gamma 90.00
loop_
_atom_site_label
_atom_site_type_symbol
_atom_site_fract_x
_atom_site_fract_y
_atom_site_fract_z
Cs1 Cs 0.000 0.000 0.000
Hf1 Hf 0.000 0.500 0.000
Co1 Co 0.500 0.500 0.500
Sb1 Sb 0.000 0.000 0.500
```

***

Entry 4:
Entry from Alexandria via LeMat-Bulk: crystalline Cs2CoHg2 at its relaxed geometry (PBE).

Properties
Energy of formation in eV per atom: 0.375
Total energy in eV/atom: -1.508

```
data_Cs2CoHg2
_chemical_formula_sum 'Cs4 Co2 Hg4'
_space_group_name_H-M_alt 'P 4/m b m'
_space_group_IT_number 127
_space_group_name_Hall '-P 4 2ab'
_cell_length_a 7.423
_cell_length_b 7.423
_cell_length_c 6.242
_cell_angle_alpha 90.00
_cell_angle_beta 90.00
_cell_angle_gamma 90.00
loop_
_atom_site_label
_atom_site_type_symbol
_atom_site_fract_x
_atom_site_fract_y
_atom_site_fract_z
Cs1 Cs 0.171 0.329 0.000
Co1 Co 0.000 0.000 0.500
Hg1 Hg 0.189 0.689 0.500
```

***

Entry 5:
Entry from Alexandria via LeMat-Bulk: crystalline Cs3CoHg at its relaxed geometry (PBE).

Properties
Energy of formation in eV per atom: 0.658
Total energy in eV/atom: -1.335

```
data_Cs3CoHg
_chemical_formula_sum 'Cs3 Co1 Hg1'
_space_group_name_H-M_alt 'P m -3 m'
_space_group_IT_number 221
_space_group_name_Hall '-P 4 2 3'
_cell_length_a 6.317
_cell_length_b 6.317
_cell_length_c 6.317
_cell_angle_alpha 90.00
_cell_angle_beta 90.00
_cell_angle_gamma 90.00
loop_
_atom_site_label
_atom_site_type_symbol
_atom_site_fract_x
_atom_site_fract_y
_atom_site_fract_z
Cs1 Cs 0.000 0.000 0.500
Co1 Co 0.000 0.000 0.000
Hg1 Hg 0.500 0.500 0.500
```

***

Entry 6:
Entry from Alexandria via LeMat-Bulk: crystalline CsCoHg3 at its relaxed geometry (PBE).

Properties
Energy of formation in eV per atom: 0.038
Polymorph energy (0 for the lowest one) in eV/atom: 0.000
Total energy in eV/atom: -1.735

```
data_CsCoHg3
_chemical_formula_sum 'Cs1 Co1 Hg3'
_space_group_name_H-M_alt 'P m -3 m'
_space_group_IT_number 221
_space_group_name_Hall '-P 4 2 3'
_cell_length_a 5.252
_cell_length_b 5.252
_cell_length_c 5.252
_cell_angle_alpha 90.00
_cell_angle_beta 90.00
_cell_angle_gamma 90.00
loop_
_atom_site_label
_atom_site_type_symbol
_atom_site_fract_x
_atom_site_fract_y
_atom_site_fract_z
Cs1 Cs 0.000 0.000 0.000
Co1 Co 0.500 0.500 0.500
Hg1 Hg 0.000 0.500 0.500
```

***

Entry 7:
Entry from Alexandria via LeMat-Bulk: crystalline CsCoHg3 at its relaxed geometry (PBE).

Properties
Energy of formation in eV per atom: 0.937
Polymorph energy (0 for the lowest one) in eV/atom: 0.899
Total energy in eV/atom: -0.836

```
data_CsCoHg3
_chemical_formula_sum 'Cs1 Co1 Hg3'
_space_group_name_H-M_alt 'P m -3 m'
_space_group_IT_number 221
_space_group_name_Hall '-P 4 2 3'
_cell_length_a 7.071
_cell_length_b 7.071
_cell_length_c 7.071
_cell_angle_alpha 90.00
_cell_angle_beta 90.00
_cell_angle_gamma 90.00
loop_
_atom_site_label
_atom_site_type_symbol
_atom_site_fract_x
_atom_site_fract_y
_atom_site_fract_z
Cs1 Cs 0.000 0.000 0.000
Co1 Co 0.500 0.500 0.500
Hg1 Hg 0.000 0.000 0.500
```

***

Entry 8:
Entry from Alexandria via LeMat-Bulk: crystalline Cs2CoHg at its relaxed geometry (PBE).

Properties
Energy of formation in eV per atom: 0.656
Total energy in eV/atom: -1.623

```
data_Cs2CoHg
_chemical_formula_sum 'Cs8 Co4 Hg4'
_space_group_name_H-M_alt 'F m -3 m'
_space_group_IT_number 225
_space_group_name_Hall '-F 4 2 3'
_cell_length_a 8.925
_cell_length_b 8.925
_cell_length_c 8.925
_cell_angle_alpha 90.00
_cell_angle_beta 90.00
_cell_angle_gamma 90.00
loop_
_atom_site_label
_atom_site_type_symbol
_atom_site_fract_x
_atom_site_fract_y
_atom_site_fract_z
Cs1 Cs 0.250 0.250 0.250
Co1 Co 0.000 0.000 0.000
Hg1 Hg 0.000 0.000 0.500
```

***

Repeat the fifth record exactly.
Entry from Alexandria via LeMat-Bulk: crystalline Cs3CoHg at its relaxed geometry (PBE).

Properties
Energy of formation in eV per atom: 0.658
Total energy in eV/atom: -1.335

```
data_Cs3CoHg
_chemical_formula_sum 'Cs3 Co1 Hg1'
_space_group_name_H-M_alt 'P m -3 m'
_space_group_IT_number 221
_space_group_name_Hall '-P 4 2 3'
_cell_length_a 6.317
_cell_length_b 6.317
_cell_length_c 6.317
_cell_angle_alpha 90.00
_cell_angle_beta 90.00
_cell_angle_gamma 90.00
loop_
_atom_site_label
_atom_site_type_symbol
_atom_site_fract_x
_atom_site_fract_y
_atom_site_fract_z
Cs1 Cs 0.000 0.000 0.500
Co1 Co 0.000 0.000 0.000
Hg1 Hg 0.500 0.500 0.500
```

***

Look up the total energy of the first one. -6.280 eV/atom

***

The lowest total energy belongs to which entry? CsHfCoS3

***

total energy of number 4 (Cs2CoHg2)? -1.508 eV/atom